Compound: La6CoAu2O
Source: the Alexandria database
Functional: PBE with a Hubbard U
Structure: optimized geometry

a = 6.891 Å, b = 7.523 Å, c = 10.524 Å
α = 90.00°, β = 91.62°, γ = 90.00°
Fractional coordinates of all 20 atoms:
La  0.317  0.690  0.056
La  0.817  0.810  0.556
La  0.683  0.310  0.944
La  0.183  0.190  0.444
La  0.318  0.703  0.446
La  0.818  0.797  0.946
La  0.682  0.297  0.554
La  0.182  0.203  0.054
La  0.877  0.528  0.239
La  0.377  0.972  0.739
La  0.123  0.472  0.761
La  0.623  0.028  0.261
Co  0.500  0.000  0.000
Co  0.000  0.500  0.500
Au  0.053  0.909  0.238
Au  0.553  0.591  0.738
Au  0.947  0.091  0.762
Au  0.447  0.409  0.262
O  0.500  0.000  0.500
O  0.000  0.500  0.000

Results
Its total energy is -108.5 eV per cell.